1.
# PBE-GGA SiBAuC, relaxed
# Density of states at the Fermi level ... 0.3899 states/eV/atom
# Calculated volume ... 49.3 Å³/cell
# Excess energy over the best structure of this formula in the dataset ... 8.4 meV/atom
# Uncorrected formation energy ... 220.3 meV per atom
data_SiBAuC
_chemical_formula_sum 'Si1 B1 Au1 C1'
_space_group_name_H-M_alt 'P m m 2'
_space_group_IT_number 25
_space_group_name_Hall 'P 2 -2'
_cell_length_a 2.792
_cell_length_b 3.030
_cell_length_c 5.827
_cell_angle_alpha 90.00
_cell_angle_beta 90.00
_cell_angle_gamma 90.00
loop_
_atom_site_label
_atom_site_type_symbol
_atom_site_fract_x
_atom_site_fract_y
_atom_site_fract_z
Si1 Si 0.000 0.000 0.000
B1 B 0.500 0.500 0.677
Au1 Au 0.500 0.000 0.368
C1 C 0.000 0.500 0.807



2.
# PBE-GGA Li2PmTmSe4, relaxed
# Calculated volume ... 189.4 Å³/cell
# Uncorrected formation energy ... -1678.4 meV per atom
data_Li2PmTmSe4
_chemical_formula_sum 'Li2 Pm1 Tm1 Se4'
_space_group_name_H-M_alt 'P 1 2/m 1'
_space_group_IT_number 10
_space_group_name_Hall '-P 2y'
_cell_length_a 6.920
_cell_length_b 4.100
_cell_length_c 7.103
_cell_angle_alpha 90.00
_cell_angle_beta 109.96
_cell_angle_gamma 90.00
loop_
_atom_site_label
_atom_site_type_symbol
_atom_site_fract_x
_atom_site_fract_y
_atom_site_fract_z
Li1 Li 0.000 0.000 0.000
Li2 Li 0.000 0.500 0.500
Pm1 Pm 0.500 0.000 0.500
Tm1 Tm 0.500 0.500 0.000
Se1 Se 0.244 0.500 0.239
Se2 Se 0.248 0.000 0.758



3.
# PBE-GGA HgHRh2, relaxed
# Density of states at the Fermi level ... 1.6566 states/eV/atom
# Calculated volume ... 232.2 Å³/cell
# Excess energy over the best structure of this formula in the dataset ... 659.2 meV/atom
data_HgHRh2
_chemical_formula_sum 'Hg4 H4 Rh8'
_space_group_name_H-M_alt 'F m -3 m'
_space_group_IT_number 225
_space_group_name_Hall '-F 4 2 3'
_cell_length_a 6.147
_cell_length_b 6.147
_cell_length_c 6.147
_cell_angle_alpha 90.00
_cell_angle_beta 90.00
_cell_angle_gamma 90.00
loop_
_atom_site_label
_atom_site_type_symbol
_atom_site_fract_x
_atom_site_fract_y
_atom_site_fract_z
Hg1 Hg 0.000 0.000 0.000
H1 H 0.000 0.000 0.500
Rh1 Rh 0.250 0.250 0.250



4.
# PBE-GGA TbPaIrOs, relaxed
# Formation energy ... -41 kJ/mol of atoms
# Density of states at the Fermi level ... 1.0869 states/eV/atom
# Calculated volume ... 328.1 Å³/cell
data_TbPaIrOs
_chemical_formula_sum 'Tb4 Pa4 Ir4 Os4'
_space_group_name_H-M_alt 'F -4 3 m'
_space_group_IT_number 216
_space_group_name_Hall 'F -4 2 3'
_cell_length_a 6.897
_cell_length_b 6.897
_cell_length_c 6.897
_cell_angle_alpha 90.00
_cell_angle_beta 90.00
_cell_angle_gamma 90.00
loop_
_atom_site_label
_atom_site_type_symbol
_atom_site_fract_x
_atom_site_fract_y
_atom_site_fract_z
Tb1 Tb 0.000 0.000 0.000
Pa1 Pa 0.000 0.000 0.500
Ir1 Ir 0.250 0.250 0.750
Os1 Os 0.250 0.250 0.250



5.
# PBE-GGA OsRu2C, relaxed
# Formation energy ... 84 kJ/mol of atoms
# Density of states at the Fermi level ... 0.4171 states/eV/atom
# Calculated volume ... 251.2 Å³/cell
data_OsRu2C
_chemical_formula_sum 'Os4 Ru8 C4'
_space_group_name_H-M_alt 'I -4 2 d'
_space_group_IT_number 122
_space_group_name_Hall 'I -4 2bw'
_cell_length_a 5.113
_cell_length_b 5.113
_cell_length_c 9.608
_cell_angle_alpha 90.00
_cell_angle_beta 90.00
_cell_angle_gamma 90.00
loop_
_atom_site_label
_atom_site_type_symbol
_atom_site_fract_x
_atom_site_fract_y
_atom_site_fract_z
Os1 Os 0.000 0.000 0.000
Ru1 Ru 0.180 0.250 0.625
C1 C 0.000 0.000 0.500



6.
# PBE-GGA ScAl2In, relaxed
# Formation energy ... 0 kJ/mol of atoms
# Density of states at the Fermi level ... 0.8202 states/eV/atom
# Calculated volume ... 324.5 Å³/cell
data_ScAl2In
_chemical_formula_sum 'Sc4 Al8 In4'
_space_group_name_H-M_alt 'F -4 3 m'
_space_group_IT_number 216
_space_group_name_Hall 'F -4 2 3'
_cell_length_a 6.872
_cell_length_b 6.872
_cell_length_c 6.872
_cell_angle_alpha 90.00
_cell_angle_beta 90.00
_cell_angle_gamma 90.00
loop_
_atom_site_label
_atom_site_type_symbol
_atom_site_fract_x
_atom_site_fract_y
_atom_site_fract_z
Sc1 Sc 0.000 0.000 0.000
Al1 Al 0.000 0.000 0.500
Al2 Al 0.250 0.250 0.250
In1 In 0.250 0.250 0.750



7.
# PBE-GGA TlHSe2, relaxed
# Density of states at the Fermi level ... 0.4174 states/eV/atom
# Calculated volume ... 393.1 Å³/cell
# Excess energy over the best structure of this formula in the dataset ... 0.0 meV/atom
data_TlHSe2
_chemical_formula_sum 'Tl4 H4 Se8'
_space_group_name_H-M_alt 'P 1 2/c 1'
_space_group_IT_number 13
_space_group_name_Hall '-P 2yc'
_cell_length_a 6.083
_cell_length_b 6.020
_cell_length_c 10.945
_cell_angle_alpha 90.00
_cell_angle_beta 101.27
_cell_angle_gamma 90.00
loop_
_atom_site_label
_atom_site_type_symbol
_atom_site_fract_x
_atom_site_fract_y
_atom_site_fract_z
Tl1 Tl 0.171 0.241 0.116
H1 H 0.351 0.478 0.396
Se1 Se 0.093 0.254 0.666
Se2 Se 0.348 0.231 0.403



8.
# PBE-GGA LiCrGeW, relaxed
# Formation energy ... 9 kJ/mol of atoms
# Density of states at the Fermi level ... 0.2989 states/eV/atom
# Calculated volume ... 211.7 Å³/cell
data_LiCrGeW
_chemical_formula_sum 'Li4 Cr4 Ge4 W4'
_space_group_name_H-M_alt 'F -4 3 m'
_space_group_IT_number 216
_space_group_name_Hall 'F -4 2 3'
_cell_length_a 5.960
_cell_length_b 5.960
_cell_length_c 5.960
_cell_angle_alpha 90.00
_cell_angle_beta 90.00
_cell_angle_gamma 90.00
loop_
_atom_site_label
_atom_site_type_symbol
_atom_site_fract_x
_atom_site_fract_y
_atom_site_fract_z
Li1 Li 0.000 0.000 0.000
Cr1 Cr 0.000 0.000 0.500
Ge1 Ge 0.250 0.250 0.750
W1 W 0.250 0.250 0.250



9.
# PBE-GGA LiBeCoNi, relaxed
# Formation energy ... 0 kJ/mol of atoms
# Density of states at the Fermi level ... 1.5208 states/eV/atom
# Calculated volume ... 154.3 Å³/cell
data_LiBeCoNi
_chemical_formula_sum 'Li4 Be4 Co4 Ni4'
_space_group_name_H-M_alt 'F -4 3 m'
_space_group_IT_number 216
_space_group_name_Hall 'F -4 2 3'
_cell_length_a 5.363
_cell_length_b 5.363
_cell_length_c 5.363
_cell_angle_alpha 90.00
_cell_angle_beta 90.00
_cell_angle_gamma 90.00
loop_
_atom_site_label
_atom_site_type_symbol
_atom_site_fract_x
_atom_site_fract_y
_atom_site_fract_z
Li1 Li 0.000 0.000 0.000
Be1 Be 0.000 0.000 0.500
Co1 Co 0.250 0.250 0.250
Ni1 Ni 0.250 0.250 0.750



10.
# PBE-GGA TmHfBeNi, relaxed
# Formation energy ... -12 kJ/mol of atoms
# Density of states at the Fermi level ... 0.7270 states/eV/atom
# Calculated volume ... 275.2 Å³/cell
data_TmHfBeNi
_chemical_formula_sum 'Tm4 Hf4 Be4 Ni4'
_space_group_name_H-M_alt 'F -4 3 m'
_space_group_IT_number 216
_space_group_name_Hall 'F -4 2 3'
_cell_length_a 6.505
_cell_length_b 6.505
_cell_length_c 6.505
_cell_angle_alpha 90.00
_cell_angle_beta 90.00
_cell_angle_gamma 90.00
loop_
_atom_site_label
_atom_site_type_symbol
_atom_site_fract_x
_atom_site_fract_y
_atom_site_fract_z
Tm1 Tm 0.000 0.000 0.000
Hf1 Hf 0.000 0.000 0.500
Be1 Be 0.250 0.250 0.250
Ni1 Ni 0.250 0.250 0.750



11.
# PBE-GGA Ca2YSe, relaxed
# Density of states at the Fermi level ... 1.0692 states/eV/atom
# Calculated volume ... 258.3 Å³/cell
# Excess energy over the best structure of this formula in the dataset ... 119.4 meV/atom
# Uncorrected formation energy ... -726.3 meV per atom
data_Ca2YSe
_chemical_formula_sum 'Ca4 Y2 Se2'
_space_group_name_H-M_alt 'C m m 2'
_space_group_IT_number 35
_space_group_name_Hall 'C 2 -2'
_cell_length_a 4.347
_cell_length_b 6.043
_cell_length_c 9.831
_cell_angle_alpha 90.00
_cell_angle_beta 90.00
_cell_angle_gamma 90.00
loop_
_atom_site_label
_atom_site_type_symbol
_atom_site_fract_x
_atom_site_fract_y
_atom_site_fract_z
Ca1 Ca 0.000 0.000 0.000
Ca2 Ca 0.000 0.500 0.320
Y1 Y 0.000 0.000 0.612
Se1 Se 0.000 0.500 0.802



12.
# PBE-GGA NaLaGa2Ir, relaxed
# Formation energy ... -17 kJ/mol of atoms
# Density of states at the Fermi level ... 0.7864 states/eV/atom
# Calculated volume ... 129.6 Å³/cell
data_NaLaGa2Ir
_chemical_formula_sum 'Na1 La1 Ga2 Ir1'
_space_group_name_H-M_alt 'P 4/m m m'
_space_group_IT_number 123
_space_group_name_Hall '-P 4 2'
_cell_length_a 4.902
_cell_length_b 4.902
_cell_length_c 5.394
_cell_angle_alpha 90.00
_cell_angle_beta 90.00
_cell_angle_gamma 90.00
loop_
_atom_site_label
_atom_site_type_symbol
_atom_site_fract_x
_atom_site_fract_y
_atom_site_fract_z
Na1 Na 0.000 0.000 0.000
La1 La 0.500 0.500 0.000
Ga1 Ga 0.000 0.500 0.500
Ir1 Ir 0.000 0.000 0.500